The following is a GGA+U calculation of HgGeWO6 after structural relaxation, from Alexandria via LeMat-Bulk.

Values from the calculation:
total moment: 0.0 Bohr magnetons per cell
V: 12.96 Å³ per atom
total DFT energy (no corrections): -54.74 eV for the cell shown

The structure in CIF format:
```
data_HgGeWO6
_chemical_formula_sum 'Hg1 Ge1 W1 O6'
_cell_length_a 5.182
_cell_length_b 5.182
_cell_length_c 5.017
_cell_angle_alpha 90.00
_cell_angle_beta 90.00
_cell_angle_gamma 120.00
_space_group_name_H-M_alt 'P 1'
_space_group_IT_number 1
_space_group_name_Hall 'P 1'
loop_
_atom_site_label
_atom_site_type_symbol
_atom_site_fract_x
_atom_site_fract_y
_atom_site_fract_z
Hg1 Hg 0.000 0.000 0.000
Ge1 Ge 0.667 0.333 0.500
W1 W 0.333 0.667 0.500
O1 O 0.380 0.004 0.712
O2 O 0.380 0.375 0.288
O3 O 0.625 0.004 0.288
O4 O 0.625 0.620 0.712
O5 O 0.996 0.375 0.712
O6 O 0.996 0.620 0.288
```